! PBEsol Li4CaSb, relaxed; values from VASP
&SYSTEM
  ibrav = 0, nat = 6, ntyp = 3
/
ATOMIC_SPECIES
Li 6.94 Li.upf
Ca 40.08 Ca.upf
Sb 121.76 Sb.upf
CELL_PARAMETERS angstrom
0.000 3.958 3.958
3.958 0.000 3.958
3.958 3.958 0.000
ATOMIC_POSITIONS angstrom
Li 0.993 0.993 0.993
Li 2.965 2.965 0.993
Li 2.965 0.993 2.965
Li 0.993 2.965 2.965
Ca 5.936 5.936 5.936
Sb 3.958 3.958 3.958
! magnetic moment: 0.17 μB/f.u.
! energy: -0.1968 Ry per atom
! symmetry: F-43m (216)
! formation energy (no corrections): -0.251 eV per atom

---

! PBEsol PPt3, relaxed; values from VASP
&SYSTEM
  ibrav = 0, nat = 4, ntyp = 2
/
ATOMIC_SPECIES
P 30.97 P.upf
Pt 195.08 Pt.upf
CELL_PARAMETERS angstrom
-1.573 4.115 2.286
1.573 -4.115 2.286
1.573 4.115 -2.286
ATOMIC_POSITIONS angstrom
P 0.000 0.000 0.000
Pt 1.573 1.645 0.600
Pt 0.000 4.115 0.530
Pt 0.000 2.470 2.886
! ΔE to the lowest computed polymorph: 0 meV per atom
! formation energy: -0.20 eV per atom
! magnetic moment: 0.00 μB/f.u.
! energy: -0.5050 Ry per atom
! symmetry: Imm2 (44)

---

! PBEsol SiTcSb2, relaxed; values from VASP
&SYSTEM
  ibrav = 0, nat = 4, ntyp = 3
/
ATOMIC_SPECIES
Si 28.09 Si.upf
Tc 98.00 Tc.upf
Sb 121.76 Sb.upf
CELL_PARAMETERS angstrom
-2.303 2.303 3.517
2.303 -2.303 3.517
2.303 2.303 -3.517
ATOMIC_POSITIONS angstrom
Si 0.000 0.000 0.000
Tc 0.000 2.303 1.759
Sb 2.303 0.000 1.759
Sb 0.000 0.000 3.517
! magnetic moment: 0.00 μB/f.u.
! energy: -0.4383 Ry per atom
! symmetry: I-4m2 (119)
! formation energy (no corrections): 0.569 eV per atom

---

! PBEsol Mg3TiF, relaxed; values from VASP
&SYSTEM
  ibrav = 0, nat = 5, ntyp = 3
/
ATOMIC_SPECIES
Mg 24.30 Mg.upf
Ti 47.87 Ti.upf
F 19.00 F.upf
CELL_PARAMETERS angstrom
4.449 0.000 0.000
0.000 4.449 0.000
0.000 0.000 4.449
ATOMIC_POSITIONS angstrom
Mg 0.000 0.000 2.225
Mg 0.000 2.225 0.000
Mg 2.225 0.000 0.000
Ti 2.225 2.225 2.225
F 0.000 0.000 0.000
! ΔE to the lowest computed polymorph: 0 meV per atom
! magnetic moment: 1.98 μB/f.u.
! energy: -0.2700 Ry per atom
! symmetry: Pm-3m (221)
! formation energy (no corrections): -0.594 eV per atom

---

! PBEsol TePbAu, relaxed; values from VASP
&SYSTEM
  ibrav = 0, nat = 3, ntyp = 3
/
ATOMIC_SPECIES
Te 127.60 Te.upf
Pb 207.20 Pb.upf
Au 196.97 Au.upf
CELL_PARAMETERS angstrom
0.000 3.463 3.463
3.463 0.000 3.463
3.463 3.463 0.000
ATOMIC_POSITIONS angstrom
Te 0.000 0.000 0.000
Pb 3.463 3.463 3.463
Au 5.194 5.194 5.194
! magnetic moment: 0.00 μB/f.u.
! energy: -0.2851 Ry per atom
! symmetry: F-43m (216)
! formation energy (no corrections): -0.062 eV per atom

---

! PBEsol Y3BeI, relaxed; values from VASP
&SYSTEM
  ibrav = 0, nat = 5, ntyp = 3
/
ATOMIC_SPECIES
Y 88.91 Y.upf
Be 9.01 Be.upf
I 126.90 I.upf
CELL_PARAMETERS angstrom
5.483 0.000 0.000
0.000 5.483 0.000
0.000 0.000 5.483
ATOMIC_POSITIONS angstrom
Y 0.000 0.000 2.741
Y 0.000 2.741 0.000
Y 2.741 0.000 0.000
Be 2.741 2.741 2.741
I 0.000 0.000 0.000
! magnetic moment: 0.00 μB/f.u.
! energy: -0.3395 Ry per atom
! symmetry: Pm-3m (221)
! formation energy (no corrections): 0.628 eV per atom

---

! PBEsol CoPSe2, relaxed; values from VASP
&SYSTEM
  ibrav = 0, nat = 4, ntyp = 3
/
ATOMIC_SPECIES
Co 58.93 Co.upf
P 30.97 P.upf
Se 78.96 Se.upf
CELL_PARAMETERS angstrom
1.626 0.939 7.342
-1.626 0.939 7.342
0.000 -1.877 7.342
ATOMIC_POSITIONS angstrom
Co 0.000 0.000 0.000
P 0.000 0.000 16.120
Se 0.000 0.000 6.033
Se 0.000 0.000 10.419
! magnetic moment: 0.00 μB/f.u.
! energy: -0.3942 Ry per atom
! symmetry: R3m (160)
! formation energy (no corrections): -0.056 eV per atom

---

! PBEsol MnSbI2N, relaxed; values from VASP
&SYSTEM
  ibrav = 0, nat = 5, ntyp = 4
/
ATOMIC_SPECIES
Mn 54.94 Mn.upf
Sb 121.76 Sb.upf
I 126.90 I.upf
N 14.01 N.upf
CELL_PARAMETERS angstrom
6.071 0.000 0.000
0.000 6.071 0.000
0.000 0.000 3.948
ATOMIC_POSITIONS angstrom
Mn 0.000 0.000 0.000
Sb 3.035 3.035 1.974
I 0.000 3.035 1.974
I 3.035 0.000 1.974
N 3.035 3.035 0.000
! magnetic moment: 5.36 μB/f.u.
! energy: -0.3204 Ry per atom
! symmetry: P4/mmm (123)
! formation energy (no corrections): 0.916 eV per atom

---

! PBEsol SbTeMo2, relaxed; values from VASP
&SYSTEM
  ibrav = 0, nat = 4, ntyp = 3
/
ATOMIC_SPECIES
Sb 121.76 Sb.upf
Te 127.60 Te.upf
Mo 95.94 Mo.upf
CELL_PARAMETERS angstrom
3.234 0.000 0.000
0.000 4.863 0.000
0.000 0.000 4.702
ATOMIC_POSITIONS angstrom
Sb 0.000 0.000 0.000
Te 1.617 2.432 3.488
Mo 0.000 2.432 1.271
Mo 1.617 0.000 2.263
! ΔE to the lowest computed polymorph: 0 meV per atom
! magnetic moment: 0.00 μB/f.u.
! energy: -0.5660 Ry per atom
! symmetry: Pmm2 (25)
! formation energy (no corrections): 0.204 eV per atom

---

! PBEsol ZnCrNi2, relaxed; values from VASP
&SYSTEM
  ibrav = 0, nat = 4, ntyp = 3
/
ATOMIC_SPECIES
Zn 65.41 Zn.upf
Cr 52.00 Cr.upf
Ni 58.69 Ni.upf
CELL_PARAMETERS angstrom
2.501 0.000 0.000
0.000 2.501 0.000
0.000 0.000 7.065
ATOMIC_POSITIONS angstrom
Zn 0.000 0.000 0.000
Cr 0.000 0.000 3.533
Ni 1.251 1.251 1.822
Ni 1.251 1.251 5.244
! formation energy: -0.11 eV per atom
! magnetic moment: 0.00 μB/f.u.
! energy: -0.4516 Ry per atom
! symmetry: P4/mmm (123)

---

! PBEsol Li2LaSc, relaxed; values from VASP
&SYSTEM
  ibrav = 0, nat = 4, ntyp = 3
/
ATOMIC_SPECIES
Li 6.94 Li.upf
La 138.91 La.upf
Sc 44.96 Sc.upf
CELL_PARAMETERS angstrom
3.159 -5.409 0.000
3.159 5.409 0.000
-1.299 0.000 2.933
ATOMIC_POSITIONS angstrom
Li 1.579 2.705 0.000
Li 1.579 -2.705 0.000
La -0.650 0.000 1.466
Sc 2.509 0.000 1.466
! ΔE to the lowest computed polymorph: 119 meV per atom
! formation energy: 0.23 eV per atom
! magnetic moment: 0.00 μB/f.u.
! energy: -0.2752 Ry per atom
! symmetry: C2/m (12)

---

! PBEsol MgCo2Sb, relaxed; values from VASP
&SYSTEM
  ibrav = 0, nat = 4, ntyp = 3
/
ATOMIC_SPECIES
Mg 24.30 Mg.upf
Co 58.93 Co.upf
Sb 121.76 Sb.upf
CELL_PARAMETERS angstrom
3.122 0.000 0.000
0.000 3.122 0.000
0.000 0.000 5.832
ATOMIC_POSITIONS angstrom
Mg 0.000 0.000 0.000
Co 1.561 1.561 1.577
Co 1.561 1.561 4.255
Sb 0.000 0.000 2.916
! magnetic moment: 0.01 μB/f.u.
! energy: -0.3951 Ry per atom
! symmetry: P4/mmm (123)
! formation energy (no corrections): 0.062 eV per atom

---

! PBEsol ZrTe2Os, relaxed; values from VASP
&SYSTEM
  ibrav = 0, nat = 4, ntyp = 3
/
ATOMIC_SPECIES
Zr 91.22 Zr.upf
Te 127.60 Te.upf
Os 190.23 Os.upf
CELL_PARAMETERS angstrom
3.413 0.000 0.000
0.000 3.413 0.000
0.000 0.000 6.700
ATOMIC_POSITIONS angstrom
Zr 0.000 0.000 0.000
Te 1.706 1.706 1.710
Te 1.706 1.706 4.990
Os 0.000 0.000 3.350
! ΔE to the lowest computed polymorph: 0 meV per atom
! magnetic moment: 0.00 μB/f.u.
! energy: -0.5102 Ry per atom
! symmetry: P4/mmm (123)
! formation energy (no corrections): 0.147 eV per atom

---

! PBEsol Ti2Hg2Os, relaxed; values from VASP
&SYSTEM
  ibrav = 0, nat = 5, ntyp = 3
/
ATOMIC_SPECIES
Ti 47.87 Ti.upf
Hg 200.59 Hg.upf
Os 190.23 Os.upf
CELL_PARAMETERS angstrom
-1.834 1.834 7.128
1.834 -1.834 7.128
1.834 1.834 -7.128
ATOMIC_POSITIONS angstrom
Ti 0.000 0.000 1.167
Ti 0.000 0.000 13.090
Hg 1.834 0.000 3.564
Hg 0.000 1.834 3.564
Os 0.000 0.000 7.128
! formation energy: 0.60 eV per atom
! magnetic moment: 0.01 μB/f.u.
! energy: -0.3970 Ry per atom
! symmetry: I4/mmm (139)

---

! PBEsol Re4AsSe, relaxed; values from VASP
&SYSTEM
  ibrav = 0, nat = 6, ntyp = 3
/
ATOMIC_SPECIES
Re 186.21 Re.upf
As 74.92 As.upf
Se 78.96 Se.upf
CELL_PARAMETERS angstrom
0.000 3.687 3.687
3.687 0.000 3.687
3.687 3.687 0.000
ATOMIC_POSITIONS angstrom
Re 0.922 0.922 0.922
Re 2.765 2.765 0.922
Re 2.765 0.922 2.765
Re 0.922 2.765 2.765
As 5.530 5.530 5.530
Se 3.687 3.687 3.687
! magnetic moment: 0.00 μB/f.u.
! energy: -0.6881 Ry per atom
! symmetry: F-43m (216)
! formation energy (no corrections): 1.019 eV per atom

---

! PBEsol GaSb3Pb4O13, relaxed; values from VASP
&SYSTEM
  ibrav = 0, nat = 21, ntyp = 4
/
ATOMIC_SPECIES
Ga 69.72 Ga.upf
Sb 121.76 Sb.upf
Pb 207.20 Pb.upf
O 16.00 O.upf
CELL_PARAMETERS angstrom
3.725 2.151 5.991
-3.725 2.151 5.991
0.000 -4.302 5.991
ATOMIC_POSITIONS angstrom
Ga 0.000 0.000 0.000
Sb 0.000 -2.156 3.012
Sb -1.867 1.078 3.012
Sb 1.867 1.078 3.012
Pb -1.833 -1.058 6.019
Pb 0.000 0.000 8.952
Pb 1.833 -1.058 6.019
Pb 0.000 2.116 6.019
O 0.000 -2.605 4.924
O -2.256 1.303 4.924
O -2.255 -1.302 8.585
O 0.000 -2.584 9.432
O -2.238 1.292 9.432
O -2.236 -1.291 13.065
O 0.000 0.000 11.228
O 2.256 1.303 4.924
O 2.255 -1.302 8.585
O 0.000 2.604 8.585
O 2.238 1.292 9.432
O 2.236 -1.291 13.065
O 0.000 2.582 13.065
! magnetic moment: 0.00 μB/f.u.
! energy: -0.4607 Ry per atom
! symmetry: R3m (160)
! formation energy (no corrections): -1.447 eV per atom

---

! PBEsol SrPbSe2, relaxed; values from VASP
&SYSTEM
  ibrav = 0, nat = 4, ntyp = 3
/
ATOMIC_SPECIES
Sr 87.62 Sr.upf
Pb 207.20 Pb.upf
Se 78.96 Se.upf
CELL_PARAMETERS angstrom
2.279 1.316 8.521
-2.279 1.316 8.521
0.000 -2.631 8.521
ATOMIC_POSITIONS angstrom
Sr 0.000 0.000 0.000
Pb 0.000 0.000 12.781
Se 0.000 0.000 10.054
Se 0.000 0.000 15.508
! magnetic moment: 0.00 μB/f.u.
! energy: -0.3007 Ry per atom
! symmetry: R-3m (166)
! formation energy (no corrections): -0.707 eV per atom

---

! PBEsol Ba2ZnBr, relaxed; values from VASP
&SYSTEM
  ibrav = 0, nat = 4, ntyp = 3
/
ATOMIC_SPECIES
Ba 137.33 Ba.upf
Zn 65.41 Zn.upf
Br 79.90 Br.upf
CELL_PARAMETERS angstrom
2.288 1.321 8.306
-2.288 1.321 8.306
0.000 -2.641 8.306
ATOMIC_POSITIONS angstrom
Ba 0.000 0.000 6.175
Ba 0.000 0.000 18.743
Zn 0.000 0.000 12.459
Br 0.000 0.000 0.000
! ΔE to the lowest computed polymorph: 8 meV per atom
! magnetic moment: 0.02 μB/f.u.
! energy: -0.2020 Ry per atom
! symmetry: R-3m (166)
! formation energy (no corrections): -0.811 eV per atom

---

! PBEsol KAl4Fe, relaxed; values from VASP
&SYSTEM
  ibrav = 0, nat = 6, ntyp = 3
/
ATOMIC_SPECIES
K 39.10 K.upf
Al 26.98 Al.upf
Fe 55.84 Fe.upf
CELL_PARAMETERS angstrom
0.000 3.833 3.833
3.833 0.000 3.833
3.833 3.833 0.000
ATOMIC_POSITIONS angstrom
K 0.000 0.000 0.000
Al 2.876 2.876 2.876
Al 4.789 4.789 2.876
Al 4.789 2.876 4.789
Al 2.876 4.789 4.789
Fe 5.749 5.749 5.749
! formation energy: 0.48 eV per atom
! magnetic moment: 2.35 μB/f.u.
! energy: -0.2891 Ry per atom
! symmetry: F-43m (216)

---

! PBEsol InAg3, relaxed; values from VASP
&SYSTEM
  ibrav = 0, nat = 4, ntyp = 2
/
ATOMIC_SPECIES
In 114.82 In.upf
Ag 107.87 Ag.upf
CELL_PARAMETERS angstrom
3.103 0.000 0.000
0.000 3.859 0.000
0.000 0.000 5.955
ATOMIC_POSITIONS angstrom
In 0.000 0.000 0.000
Ag 0.000 0.000 2.978
Ag 1.552 1.929 1.542
Ag 1.552 1.929 4.413
! formation energy: -0.03 eV per atom
! magnetic moment: 0.00 μB/f.u.
! energy: -0.2393 Ry per atom
! symmetry: Pmmm (47)

---

! PBEsol Sc3AsPd, relaxed; values from VASP
&SYSTEM
  ibrav = 0, nat = 5, ntyp = 3
/
ATOMIC_SPECIES
Sc 44.96 Sc.upf
As 74.92 As.upf
Pd 106.42 Pd.upf
CELL_PARAMETERS angstrom
4.932 0.000 0.000
0.000 4.932 0.000
0.000 0.000 4.932
ATOMIC_POSITIONS angstrom
Sc 0.000 0.000 2.466
Sc 0.000 2.466 0.000
Sc 2.466 0.000 0.000
As 2.466 2.466 2.466
Pd 0.000 0.000 0.000
! formation energy: -0.20 eV per atom
! magnetic moment: 0.00 μB/f.u.
! energy: -0.4683 Ry per atom
! symmetry: Pm-3m (221)

---

! PBEsol In2Te9RuCl8, relaxed; values from VASP
&SYSTEM
  ibrav = 0, nat = 40, ntyp = 4
/
ATOMIC_SPECIES
In 114.82 In.upf
Te 127.60 Te.upf
Ru 101.07 Ru.upf
Cl 35.45 Cl.upf
CELL_PARAMETERS angstrom
10.340 -5.917 0.000
10.340 5.917 0.000
-0.086 0.000 10.108
ATOMIC_POSITIONS angstrom
In 3.528 0.198 4.524
In 3.485 -0.198 9.578
In 17.108 0.198 0.530
In 17.065 -0.198 5.584
Te 10.275 3.603 7.581
Te 7.185 1.771 2.434
Te 8.714 1.719 8.849
Te 9.582 2.174 3.742
Te 8.055 0.581 6.339
Te 11.054 2.174 1.312
Te 11.836 1.719 6.313
Te 8.099 -0.581 1.285
Te 7.142 -1.771 7.488
Te 13.451 1.771 2.620
Te 12.494 0.581 8.823
Te 8.757 -1.719 3.795
Te 9.539 -2.174 8.796
Te 12.537 -0.581 3.769
Te 11.011 -2.174 6.366
Te 11.879 -1.719 1.259
Te 13.408 -1.771 7.674
Te 10.318 -3.603 2.527
Ru 10.340 0.000 0.000
Ru 10.296 0.000 5.054
Cl 8.830 4.949 0.483
Cl 3.717 1.938 2.931
Cl 3.619 1.376 6.644
Cl 11.806 4.949 4.571
Cl 5.410 1.194 9.695
Cl 3.663 -1.376 1.590
Cl 3.673 -1.938 7.985
Cl 5.454 -1.194 4.641
Cl 15.139 1.194 5.467
Cl 16.919 1.938 2.123
Cl 16.930 1.376 8.518
Cl 15.182 -1.194 0.413
Cl 8.787 -4.949 5.537
Cl 16.973 -1.376 3.464
Cl 16.876 -1.938 7.178
Cl 11.763 -4.949 9.625
! magnetic moment: 0.00 μB/f.u.
! energy: -0.2734 Ry per atom
! symmetry: C2/c (15)
! formation energy (no corrections): -0.524 eV per atom

---

! PBEsol CoReHg2S, relaxed; values from VASP
&SYSTEM
  ibrav = 0, nat = 5, ntyp = 4
/
ATOMIC_SPECIES
Co 58.93 Co.upf
Re 186.21 Re.upf
Hg 200.59 Hg.upf
S 32.06 S.upf
CELL_PARAMETERS angstrom
4.963 0.000 0.000
0.000 4.963 0.000
0.000 0.000 3.925
ATOMIC_POSITIONS angstrom
Co 0.000 0.000 0.000
Re 2.481 2.481 1.963
Hg 0.000 2.481 0.000
Hg 2.481 0.000 0.000
S 0.000 0.000 1.963
! magnetic moment: 3.39 μB/f.u.
! energy: -0.3012 Ry per atom
! symmetry: P4/mmm (123)
! formation energy (no corrections): 1.219 eV per atom

---

! PBEsol KTaBe3, relaxed; values from VASP
&SYSTEM
  ibrav = 0, nat = 5, ntyp = 3
/
ATOMIC_SPECIES
K 39.10 K.upf
Ta 180.95 Ta.upf
Be 9.01 Be.upf
CELL_PARAMETERS angstrom
4.188 0.000 0.000
0.000 4.188 0.000
0.000 0.000 4.188
ATOMIC_POSITIONS angstrom
K 0.000 0.000 0.000
Ta 2.094 2.094 2.094
Be 0.000 0.000 2.094
Be 0.000 2.094 0.000
Be 2.094 0.000 0.000
! formation energy: 2.31 eV per atom
! magnetic moment: 0.00 μB/f.u.
! energy: -0.2078 Ry per atom
! symmetry: Pm-3m (221)

---

! PBEsol Na3TlF, relaxed; values from VASP
&SYSTEM
  ibrav = 0, nat = 5, ntyp = 3
/
ATOMIC_SPECIES
Na 22.99 Na.upf
Tl 204.38 Tl.upf
F 19.00 F.upf
CELL_PARAMETERS angstrom
5.818 0.000 0.000
0.000 5.818 0.000
0.000 0.000 5.818
ATOMIC_POSITIONS angstrom
Na 0.000 0.000 2.909
Na 0.000 2.909 0.000
Na 2.909 0.000 0.000
Tl 0.000 0.000 0.000
F 2.909 2.909 2.909
! magnetic moment: 0.00 μB/f.u.
! energy: -0.1414 Ry per atom
! symmetry: Pm-3m (221)
! formation energy (no corrections): -0.172 eV per atom

---

! PBEsol CaCdTc2, relaxed; values from VASP
&SYSTEM
  ibrav = 0, nat = 4, ntyp = 3
/
ATOMIC_SPECIES
Ca 40.08 Ca.upf
Cd 112.41 Cd.upf
Tc 98.00 Tc.upf
CELL_PARAMETERS angstrom
2.784 -4.822 0.000
2.784 4.822 0.000
-0.797 0.000 2.560
ATOMIC_POSITIONS angstrom
Ca 0.000 0.000 0.000
Cd 2.784 0.000 0.000
Tc 0.994 2.411 1.280
Tc 0.994 -2.411 1.280
! formation energy: 0.60 eV per atom
! magnetic moment: 0.00 μB/f.u.
! energy: -0.4309 Ry per atom
! symmetry: C2/m (12)

---

! PBEsol TaP2W, relaxed; values from VASP
&SYSTEM
  ibrav = 0, nat = 4, ntyp = 3
/
ATOMIC_SPECIES
Ta 180.95 Ta.upf
P 30.97 P.upf
W 183.84 W.upf
CELL_PARAMETERS angstrom
1.650 -2.264 0.000
1.650 2.264 0.000
0.000 0.000 9.018
ATOMIC_POSITIONS angstrom
Ta 0.000 0.000 0.000
P 0.000 0.000 4.956
P 1.650 0.000 1.881
W 1.650 0.000 6.765
! formation energy: -0.02 eV per atom
! magnetic moment: 0.00 μB/f.u.
! energy: -0.6987 Ry per atom
! symmetry: Cmm2 (35)